VASP calculation (GGA-PBE) on an optimized crystal structure of Hf2Cr2Cu.

The space group is P4/mbm (No. 127) and the conventional cell measures 6.431, 6.431 and 3.958 Å, with angles of 90.00, 90.00 and 90.00 degrees. The asymmetric unit holds Hf at (0.182, 0.318, 0.000), Cr at (0.112, 0.612, 0.500) and Cu at (0.000, 0.000, 0.500).

The density of states at the Fermi level comes out at 6.629 states/eV/f.u. The value obtained for the final energy is -84.97 eV per cell. The formation enthalpy at 0 K comes out at 0.15 eV/atom.